Record 1
! Th2NiSn PBE optimized geometry; values from VASP
&SYSTEM
  ibrav = 0, nat = 8, ntyp = 3
/
ATOMIC_SPECIES
Sn 118.71 Sn.upf
Th 232.04 Th.upf
Ni 58.69 Ni.upf
CELL_PARAMETERS angstrom
3.9984 0.0000 0.0000
0.0000 6.3801 -0.0204
0.0000 -3.2096 8.2182
ATOMIC_POSITIONS angstrom
Sn 2.9988 1.7396 6.5360
Sn 0.9996 1.4309 1.6617
Th 0.9996 4.6144 0.9051
Ni 0.9996 0.0198 5.8630
Th 0.9996 3.2834 4.4230
Th 2.9988 -1.4439 7.2926
Th 2.9988 -0.1129 3.7747
Ni 2.9988 3.1506 2.3347
! space-group type = P2_1/m, No. 11
! energy of formation = -0.469 eV per atom
! Fermi-level density of states = 7.6 states/eV per cell
! energy above the most stable polymorph in this dataset = 0 meV per atom

=====

Record 2
! HfCu2IrBr PBE optimized geometry; values from VASP
&SYSTEM
  ibrav = 0, nat = 5, ntyp = 4
/
ATOMIC_SPECIES
Cu 63.55 Cu.upf
Hf 178.49 Hf.upf
Br 79.90 Br.upf
Ir 192.22 Ir.upf
CELL_PARAMETERS angstrom
-1.5430 -3.8325 1.3458
2.2597 0.6575 4.4633
-3.5654 1.9676 1.5153
ATOMIC_POSITIONS angstrom
Cu -0.7715 -1.9162 0.6729
Hf 1.1298 0.3287 2.2317
Br 0.0000 0.0000 0.0000
Cu -1.7827 0.9838 0.7576
Ir -1.4244 -0.6037 3.6622
! space-group type = P4/mmm, No. 123
! Fermi-level density of states = 3.0 states/eV per cell
! uncorrected formation energy = 0.981 eV/atom

=====

Record 3
! Pm2PrCu PBE optimized geometry; values from VASP
&SYSTEM
  ibrav = 0, nat = 4, ntyp = 3
/
ATOMIC_SPECIES
Pm 145.00 Pm.upf
Cu 63.55 Cu.upf
Pr 140.91 Pr.upf
CELL_PARAMETERS angstrom
-1.0559 -1.9751 -2.9916
2.2441 -0.2214 -2.9801
4.7544 -8.9590 1.9025
ATOMIC_POSITIONS angstrom
Pm 1.2612 -2.3652 -1.2178
Pm 3.8876 -7.3229 1.1283
Cu 0.7941 -1.4681 -3.9794
Pr 2.9709 -5.5771 -2.0349
! space-group type = R3m, No. 160
! energy of formation = 0.057 eV per atom
! Fermi-level density of states = 5.1 states/eV per cell
! energy above the most stable polymorph in this dataset = 122 meV per atom

=====

Record 4
! TiAl2SiBr PBE optimized geometry; values from VASP
&SYSTEM
  ibrav = 0, nat = 5, ntyp = 4
/
ATOMIC_SPECIES
Si 28.09 Si.upf
Al 26.98 Al.upf
Ti 47.87 Ti.upf
Br 79.90 Br.upf
CELL_PARAMETERS angstrom
-0.9270 2.4044 -4.0727
-3.5041 -3.2221 -1.1046
-3.2289 2.7108 2.3353
ATOMIC_POSITIONS angstrom
Si 0.0000 0.0000 0.0000
Al -1.6144 1.3554 1.1676
Ti -1.7521 -1.6111 -0.5523
Br -3.8300 0.9465 -1.4210
Al -0.4635 1.2022 -2.0364
! space-group type = P4/mmm, No. 123
! Fermi-level density of states = 4.2 states/eV per cell
! uncorrected formation energy = 0.435 eV/atom

=====

Record 5
! HfCuCl6 PBE optimized geometry; values from VASP
&SYSTEM
  ibrav = 0, nat = 8, ntyp = 3
/
ATOMIC_SPECIES
Cl 35.45 Cl.upf
Cu 63.55 Cu.upf
Hf 178.49 Hf.upf
CELL_PARAMETERS angstrom
-3.6361 3.5821 -2.4813
-5.9219 2.1998 4.6192
-0.7401 6.2124 3.9007
ATOMIC_POSITIONS angstrom
Cl -6.8479 8.3822 6.1541
Cu -5.1490 5.9971 3.0193
Hf 0.0000 0.0000 0.0000
Cl -7.0754 5.8003 1.7319
Cl -4.3095 7.2792 1.3306
Cl -3.4501 3.6120 -0.1155
Cl -3.2226 6.1939 4.3067
Cl -5.9885 4.7150 4.7080
! space-group type = P-1, No. 2
! Fermi-level density of states = 0.0 states/eV per cell
! uncorrected formation energy = -1.250 eV/atom

=====

Record 6
! DyY6Tl PBE optimized geometry; values from VASP
&SYSTEM
  ibrav = 0, nat = 8, ntyp = 3
/
ATOMIC_SPECIES
Tl 204.38 Tl.upf
Y 88.91 Y.upf
Dy 162.50 Dy.upf
CELL_PARAMETERS angstrom
4.9196 0.0000 0.0000
0.0000 4.9196 0.0000
0.0000 0.0000 10.1250
ATOMIC_POSITIONS angstrom
Tl 0.0000 0.0000 0.0000
Y 2.4598 2.4598 5.0625
Y 2.4598 0.0000 7.6450
Y 0.0000 2.4598 2.4800
Y 2.4598 0.0000 2.4800
Y 0.0000 2.4598 7.6450
Dy 0.0000 0.0000 5.0625
Y 2.4598 2.4598 0.0000
! space-group type = P4/mmm, No. 123
! energy of formation = -0.076 eV per atom
! Fermi-level density of states = 10.1 states/eV per cell
! energy above the most stable polymorph in this dataset = 0 meV per atom